Material: CrH2PbF8
Method: DFT, GGA+U
State: relaxed

Calculated values
Size of the total moment in μB per formula unit: 2.00
Space group: P-1 (2)
Final energy in eV per atom: -4.8062

Lattice parameters (Å, degrees): 4.901 5.043 7.109 98.20 86.74 71.35
Site moments in Bohr magnetons follow the coordinates.
Fractional coordinates of all 12 atoms:
F 0.667 0.702 0.425  0.00
F 0.333 0.298 0.575  0.00
F 0.218 0.794 0.171  -0.01
F 0.228 0.214 0.999  -0.03
F 0.230 0.744 0.770  0.00
F 0.782 0.206 0.829  -0.01
F 0.770 0.256 0.230  0.00
F 0.772 0.786 0.001  -0.03
Cr 0.000 0.000 0.000  2.06
H 0.292 0.471 0.681  0.00
H 0.708 0.529 0.319  0.00
Pb 0.000 0.000 0.500  0.01